The following is a DFT calculation (PBE-GGA) of a relaxed Si3Ir crystal.

Unit cell a=4.5120 b=4.5120 c=4.5120 alpha=112.59 beta=112.59 gamma=112.59
With the nearest neighbours (Å) after each atom.
Fractional coordinates of all 4 atoms:
Ir (0.0000, 0.0000, 0.0000)  6 Si 2.50
Si (0.0000, 0.5000, 0.5000)  4 Si 2.50, 2 Ir 2.50
Si (0.5000, 0.0000, 0.5000)  4 Si 2.50, 2 Ir 2.50
Si (0.5000, 0.5000, 0.0000)  2 Ir 2.50, 4 Si 2.50

Results
* formation energy without anion corrections: 0.170 eV per atom
* electronic total energy: -6.11 eV per atom
* total magnetic moment: 0.00 μB/f.u.
* SG: R-3m (166)